# TlWF6, relaxed, DFT PBE+U
data_TlWF6
_chemical_formula_sum 'Tl3 W3 F18'
_cell_length_a 5.6823
_cell_length_b 5.6823
_cell_length_c 16.0960
_cell_angle_alpha 90.00
_cell_angle_beta 90.00
_cell_angle_gamma 120.00
_symmetry_space_group_name_H-M 'R -3 m'
_symmetry_Int_Tables_number 166
_symmetry_space_group_name_Hall '-R 3 2"'
loop_
_atom_site_label
_atom_site_fract_x
_atom_site_fract_y
_atom_site_fract_z
Tl1 0.0000 0.0000 0.0000
W1 0.0000 0.0000 0.5000
F1 0.0160 0.5080 0.0950
# mass density	5.56	g cm⁻³
# total energy	-5.02	eV per atom
# crystal system	trigonal
# relative energy among the computed polymorphs	0.135	eV per atom
# V	450	Å³ per cell